Density functional theory data (PBE with a Hubbard U) for a geometry-optimized Zn3Cr4BiO12 structure.

Summary:
Symmetry: Im-3 (204)
DFT total energy: -6.318 eV per atom
Spin magnetization: 0.450 μB/atom

a = 6.4864 Å, b = 6.4864 Å, c = 6.4864 Å
α = 109.47°, β = 109.47°, γ = 109.47°
Element x y z (fractional)
Zn 0.0000 0.5000 0.5000
Zn 0.5000 0.0000 0.5000
Zn 0.5000 0.5000 0.0000
Cr 0.0000 0.0000 0.5000
Cr 0.0000 0.5000 0.0000
Cr 0.5000 0.0000 0.0000
Cr 0.5000 0.5000 0.5000
Bi 0.0000 0.0000 0.0000
O 0.1190 0.8195 0.2995
O 0.1805 0.2995 0.4801
O 0.1805 0.7005 0.8810
O 0.2995 0.1190 0.8195
O 0.2995 0.4801 0.1805
O 0.4801 0.1805 0.2995
O 0.5199 0.8195 0.7005
O 0.7005 0.5199 0.8195
O 0.7005 0.8810 0.1805
O 0.8195 0.2995 0.1190
O 0.8195 0.7005 0.5199
O 0.8810 0.1805 0.7005